[1]
Material: EuLu2In
Method: DFT, PBE
State: relaxed

Results
E above lowest polymorph: 25 meV per atom
Crystal system: tetragonal
Formation enthalpy at 0 K: -0.649 eV/f.u.

```
4
Lattice="-2.910 -2.049 -0.182 1.791 -2.368 -1.971 2.674 -4.492 7.827" Properties=species:S:1:pos:R:3 pbc="T T T"
In -0.560 -2.209 -1.077
Lu 0.567 -0.952 1.658
Eu 0.777 -4.455 2.837
Lu 2.108 -3.541 6.168
```

***

[2]
Material: CdInPd2C
Method: DFT, PBE
State: relaxed

Results
E above lowest polymorph: 725 meV per atom
Crystal system: tetragonal
Formation enthalpy at 0 K: 9.572 eV/f.u.

```
5
Lattice="-3.042 3.267 -2.267 1.581 -1.861 -4.803 -3.695 -3.377 0.092" Properties=species:S:1:pos:R:3 pbc="T T T"
C -2.578 -0.986 -3.489
Pd -1.521 1.633 -1.134
Cd 0.791 -0.931 -2.401
In 0.000 0.000 0.000
Pd -1.848 -1.688 0.046
```

***

[3]
Material: TcPIr
Method: DFT, PBE
State: relaxed

Results
E above lowest polymorph: 476 meV per atom
Crystal system: orthorhombic
Formation enthalpy at 0 K: 0.347 eV/f.u.

```
3
Lattice="0.529 0.444 4.391 2.384 3.586 1.104 -3.701 -1.230 -2.134" Properties=species:S:1:pos:R:3 pbc="T T T"
P 1.943 2.687 3.665
Tc 1.001 1.385 1.888
Ir 2.882 3.987 5.438
```

***

[4]
Material: LaMg6Ge2
Method: DFT, PBE
State: relaxed

Results
Crystal system: tetragonal
Formation enthalpy at 0 K: -2.726 eV/f.u.

```
9
Lattice="-3.639 -1.574 1.884 2.142 -0.388 3.812 -2.887 9.808 2.621" Properties=species:S:1:pos:R:3 pbc="T T T"
Ge -1.097 0.201 3.164
Ge -3.287 7.645 5.153
Mg 0.263 2.552 2.640
Mg -2.628 1.959 1.676
La 0.000 0.000 0.000
Mg -1.443 4.904 1.311
Mg -2.192 3.923 4.159
Mg -3.898 6.275 2.829
Mg -1.007 6.868 3.793
```

***

[5]
Material: ZrCrOs2
Method: DFT, PBE
State: relaxed

Results
Crystal system: orthorhombic
Formation enthalpy at 0 K: 0.598 eV/f.u.

```
4
Lattice="3.097 0.000 0.000 0.000 4.544 0.000 0.000 0.000 4.384" Properties=species:S:1:pos:R:3 pbc="T T T"
Os 0.000 0.000 0.000
Cr 0.000 2.272 2.192
Os 1.548 2.272 0.000
Zr 1.548 0.000 2.192
```

***

[6]
Material: CsZnSiAu2
Method: DFT, PBE
State: relaxed

Results
Crystal system: tetragonal
ΔE_f (raw): -65 meV per atom

```
5
Lattice="-4.796 1.648 -0.873 -0.774 -3.949 -3.206 -1.636 -2.754 3.787" Properties=species:S:1:pos:R:3 pbc="T T T"
Si 0.000 0.000 0.000
Au -0.387 -1.975 -1.603
Au -2.398 0.824 -0.436
Zn -0.818 -1.377 1.894
Cs -3.603 -2.528 -0.146
```